18
Lattice="7.413 0.000 0.000 0.000 8.047 0.000 -6.789 0.000 13.366" Properties=species:S:1:pos:R:3 comment="SrCa2I6 PBE-GGA optimized geometry" e_tot_ev_per_atom=-3.235 spacegroup="No. 14" e_form_raw_ev_per_atom=-1.570 pbc="T T T"
Sr 0.000 0.000 0.000
Sr -3.394 4.024 6.683
Ca -2.667 0.775 10.073
Ca 0.727 3.248 3.390
Ca -0.102 4.799 9.976
Ca 3.292 7.272 3.293
I -1.195 0.637 3.045
I -4.589 3.387 9.728
I 1.587 5.469 1.283
I -1.807 6.601 7.966
I 2.524 1.578 1.282
I -0.871 2.446 7.965
I 1.495 5.601 5.400
I -1.899 6.469 12.083
I 2.431 1.446 5.400
I -0.963 2.578 12.083
I 5.214 4.660 3.638
I 1.819 7.410 10.320

16
Lattice="-4.394 4.394 2.922 4.394 -4.394 2.922 4.394 4.394 -2.922" Properties=species:S:1:pos:R:3 comment="Cu3As PBE-GGA optimized geometry" formation_energy_ev_per_fu=0.17 e_tot_ev_per_atom=-4.192 spacegroup="No. 82" pbc="T T T"
Cu 3.393 0.804 -0.468
Cu 4.012 3.106 -1.703
Cu 5.723 1.905 -0.142
Cu 0.383 1.288 1.219
Cu 1.905 3.066 0.142
Cu 3.590 -1.002 3.390
Cu 2.490 1.329 3.064
Cu 0.804 5.396 0.468
Cu 1.288 -0.383 4.626
Cu -1.329 2.490 2.780
Cu 1.002 3.590 2.454
Cu 3.106 4.777 1.703
As 1.965 -0.518 1.474
As 2.430 4.913 -1.448
As 3.876 2.430 1.448
As 0.518 1.965 4.370

14
Lattice="2.093 -10.063 0.000 2.093 10.063 0.000 0.000 0.000 8.243" Properties=species:S:1:pos:R:3 comment="Ce2Cd2Ag3 PBE-GGA optimized geometry" formation_energy_ev_per_fu=-0.81 e_tot_ev_per_atom=-3.294 spacegroup="No. 63" pbc="T T T"
Ce 2.093 8.838 6.183
Ce 2.093 7.051 2.061
Ce 2.093 -7.051 6.183
Ce 2.093 -8.838 2.061
Cd 2.093 3.785 0.444
Cd 2.093 3.785 3.678
Cd 2.093 -3.785 4.566
Cd 2.093 -3.785 7.799
Ag 2.093 5.360 6.183
Ag 2.093 1.172 4.767
Ag 2.093 1.172 7.599
Ag 2.093 -1.172 0.645
Ag 2.093 -1.172 3.477
Ag 2.093 -5.360 2.061

4
Lattice="1.448 0.836 9.082 -1.448 0.836 9.082 0.000 -1.672 9.082" Properties=species:S:1:pos:R:3 comment="MoRh2Br PBE-GGA optimized geometry" e_above_lowest_polymorph_mev_per_atom=94.7 e_tot_ev_per_atom=-6.537 spacegroup="No. 166" e_form_raw_ev_per_atom=0.265 pbc="T T T"
Mo 0.000 0.000 0.000
Rh 0.000 0.000 7.005
Rh 0.000 0.000 20.241
Br 0.000 0.000 13.623

80
Lattice="-8.599 8.599 8.599 8.599 -8.599 8.599 8.599 8.599 -8.599" Properties=species:S:1:pos:R:3 comment="Na5Gd3Br12 PBE-GGA optimized geometry" e_tot_ev_per_atom=-4.972 spacegroup="No. 230" e_form_raw_ev_per_atom=-1.527 pbc="T T T"
Na 0.000 0.000 0.000
Na 4.299 4.299 -4.299
Na 4.299 -4.299 4.299
Na 8.599 0.000 0.000
Na 12.898 2.150 0.000
Na 8.599 -4.299 6.449
Na 6.449 8.599 -4.299
Na 6.449 0.000 4.299
Na 4.299 6.449 0.000
Na 8.599 4.299 2.150
Na -4.299 4.299 4.299
Na 0.000 8.599 0.000
Na 0.000 0.000 8.599
Na 4.299 4.299 4.299
Na 0.000 4.299 6.449
Na 4.299 2.150 8.599
Na 2.150 8.599 4.299
Na 2.150 0.000 12.898
Na 0.000 12.898 2.150
Na -4.299 6.449 8.599
Gd 4.299 2.150 0.000
Gd 8.599 4.299 -2.150
Gd 2.150 0.000 4.299
Gd 10.748 0.000 4.299
Gd 0.000 4.299 2.150
Gd 4.299 -2.150 8.599
Gd 4.299 10.748 0.000
Gd 8.599 4.299 6.449
Gd -2.150 8.599 4.299
Gd 6.449 8.599 4.299
Gd 0.000 4.299 10.748
Gd 4.299 6.449 8.599
Br 2.631 -0.372 1.236
Br 10.267 5.535 -4.671
Br 8.227 -1.236 2.631
Br 13.269 -1.669 3.064
Br 11.229 0.372 1.236
Br 10.267 -3.064 4.671
Br 1.236 2.631 -0.372
Br 11.662 3.928 -1.669
Br 5.535 4.671 -1.669
Br 7.363 2.631 0.372
Br -0.372 1.236 2.631
Br 4.671 -1.669 5.535
Br 8.227 7.363 -2.631
Br 4.671 1.669 3.064
Br 7.363 -2.631 8.227
Br 5.535 -4.671 10.267
Br 3.064 4.671 1.669
Br 9.834 5.968 0.372
Br 2.631 8.227 -1.236
Br 10.267 3.064 3.928
Br 4.671 10.267 -3.064
Br 8.227 1.236 5.968
Br 1.669 3.064 4.671
Br 2.631 0.372 7.363
Br 5.968 8.227 1.236
Br 6.930 5.535 3.928
Br 0.372 7.363 2.631
Br 3.928 -1.669 11.662
Br -1.669 5.535 4.671
Br 5.968 0.372 9.834
Br -1.236 2.631 8.227
Br 5.535 3.928 6.930
Br 3.064 13.269 -1.669
Br 1.236 11.229 0.372
Br 3.928 6.930 5.535
Br 0.372 1.236 11.229
Br 3.928 10.267 3.064
Br 8.970 7.363 5.968
Br 1.236 5.968 8.227
Br 3.064 3.928 10.267
Br -3.064 4.671 10.267
Br 7.363 5.968 8.970
Br -1.669 11.662 3.928
Br -2.631 8.227 7.363
Br -4.671 10.267 5.535
Br 0.372 9.834 5.968
Br -1.669 3.064 13.269
Br 5.968 8.970 7.363

5
Lattice="5.501 0.000 0.000 0.000 5.501 0.000 0.000 0.000 4.374" Properties=species:S:1:pos:R:3 comment="La2RhAuS PBE-GGA optimized geometry" e_tot_ev_per_atom=-5.777 spacegroup="No. 123" e_form_raw_ev_per_atom=-0.855 pbc="T T T"
La 0.000 2.750 0.000
La 2.750 0.000 0.000
Rh 0.000 0.000 2.187
Au 2.750 2.750 2.187
S 0.000 0.000 0.000

6
Lattice="2.411 -4.148 0.000 2.411 4.148 0.000 0.000 0.000 6.231" Properties=species:S:1:pos:R:3 comment="ScTlZn PBE-GGA optimized geometry" formation_energy_ev_per_fu=-0.43 e_tot_ev_per_atom=-3.468 spacegroup="No. 63" pbc="T T T"
Sc 2.411 2.770 4.673
Sc 2.411 -2.770 1.558
Tl 2.411 0.000 0.000
Tl 2.411 0.000 3.115
Zn 2.411 2.759 1.558
Zn 2.411 -2.759 4.673

7
Lattice="2.993 1.728 9.802 -2.993 1.728 9.802 0.000 -3.456 9.802" Properties=species:S:1:pos:R:3 comment="Ba4Tl2Zn PBE-GGA optimized geometry" e_above_lowest_polymorph_mev_per_atom=0.0 formation_energy_ev_per_fu=-1.83 e_tot_ev_per_atom=-2.218 spacegroup="No. 166" pbc="T T T"
Ba 0.000 0.000 3.598
Ba 0.000 0.000 10.946
Ba 0.000 0.000 18.458
Ba 0.000 0.000 25.807
Tl 0.000 0.000 7.324
Tl 0.000 0.000 22.081
Zn 0.000 0.000 0.000

12
Lattice="9.889 -2.269 0.000 9.889 2.269 0.000 -2.063 0.000 8.888" Properties=species:S:1:pos:R:3 comment="Ac6TeAs3P2 PBE-GGA optimized geometry" e_tot_ev_per_atom=-5.888 spacegroup="No. 12" e_form_raw_ev_per_atom=-1.508 pbc="T T T"
Ac -0.498 0.000 2.378
Ac 4.588 0.000 8.064
Ac 5.680 0.000 3.734
Ac 12.034 0.000 5.154
Ac 13.126 0.000 0.823
Ac 18.213 0.000 6.509
Te 9.889 0.000 0.000
As 1.522 0.000 7.403
As 8.857 0.000 4.444
As 16.193 0.000 1.485
P 2.615 0.000 2.963
P 15.100 0.000 5.924

8
Lattice="-3.581 3.581 2.746 3.581 -3.581 2.746 3.581 3.581 -2.746" Properties=species:S:1:pos:R:3 comment="Sc2CoMo PBE-GGA optimized geometry" formation_energy_ev_per_fu=1.50 e_tot_ev_per_atom=-7.274 spacegroup="No. 122" pbc="T T T"
Sc 1.790 1.500 -0.686
Sc 2.081 -1.790 3.432
Sc 1.790 2.081 2.059
Sc 1.500 5.371 0.686
Co 0.000 0.000 0.000
Co 0.000 3.581 1.373
Mo 3.581 0.000 1.373
Mo 0.000 0.000 2.746

4
Lattice="3.569 0.000 0.000 0.000 3.569 0.000 0.000 0.000 8.588" Properties=species:S:1:pos:R:3 comment="Y2ScHg PBE-GGA optimized geometry" formation_energy_ev_per_fu=-0.86 e_tot_ev_per_atom=-5.105 spacegroup="No. 123" pbc="T T T"
Y 0.000 0.000 2.036
Y 0.000 0.000 6.552
Sc 1.784 1.784 4.294
Hg 1.784 1.784 0.000

7
Lattice="-2.741 2.741 7.341 2.741 -2.741 7.341 2.741 2.741 -7.341" Properties=species:S:1:pos:R:3 comment="Pr2DyMg4 PBE-GGA optimized geometry" formation_energy_ev_per_fu=0.80 e_tot_ev_per_atom=-2.820 spacegroup="No. 139" pbc="T T T"
Pr 0.000 0.000 3.614
Pr 0.000 0.000 11.067
Dy 0.000 0.000 7.341
Mg 2.741 0.000 1.651
Mg 2.741 0.000 5.690
Mg 0.000 2.741 1.651
Mg 0.000 2.741 5.690

5
Lattice="7.063 0.000 0.000 0.000 7.063 0.000 0.000 0.000 7.063" Properties=species:S:1:pos:R:3 comment="CsRb3Cl PBE-GGA optimized geometry" e_above_lowest_polymorph_mev_per_atom=0.0 e_tot_ev_per_atom=-1.799 spacegroup="No. 221" e_form_raw_ev_per_atom=-0.678 pbc="T T T"
Cs 0.000 0.000 0.000
Rb 0.000 3.532 3.532
Rb 3.532 0.000 3.532
Rb 3.532 3.532 0.000
Cl 3.532 3.532 3.532

12
Lattice="4.913 0.000 0.000 0.000 9.395 0.000 0.000 0.000 6.525" Properties=species:S:1:pos:R:3 comment="Ho3TmGa2 PBE-GGA optimized geometry" e_above_lowest_polymorph_mev_per_atom=0.0 formation_energy_ev_per_fu=-2.58 e_tot_ev_per_atom=-4.474 spacegroup="No. 26" pbc="T T T"
Ho 0.000 0.446 0.000
Ho 0.000 3.025 2.346
Ho 0.000 6.370 5.608
Ho 0.000 8.949 3.263
Ho 2.457 1.705 4.626
Ho 2.457 7.690 1.363
Tm 2.457 4.240 0.444
Tm 2.457 5.155 3.707
Ga 0.000 3.376 5.392
Ga 0.000 6.019 2.129
Ga 2.457 1.321 1.585
Ga 2.457 8.074 4.847

4
Lattice="-1.890 1.890 3.921 1.890 -1.890 3.921 1.890 1.890 -3.921" Properties=species:S:1:pos:R:3 comment="Cu2TcSe PBE-GGA optimized geometry" e_tot_ev_per_atom=-5.170 spacegroup="No. 119" e_form_raw_ev_per_atom=0.341 pbc="T T T"
Cu 0.000 0.000 0.000
Cu 0.000 1.890 1.961
Tc 0.000 0.000 3.921
Se 1.890 0.000 1.961

4
Lattice="2.003 1.156 10.863 -2.003 1.156 10.863 0.000 -2.313 10.863" Properties=species:S:1:pos:R:3 comment="AcSm2Ir PBE-GGA optimized geometry" e_above_lowest_polymorph_mev_per_atom=259.4 formation_energy_ev_per_fu=-0.80 e_tot_ev_per_atom=-5.803 spacegroup="No. 166" pbc="T T T"
Ac 0.000 0.000 0.000
Sm 0.000 0.000 3.871
Sm 0.000 0.000 28.718
Ir 0.000 0.000 16.294

4
Lattice="0.000 3.932 3.932 3.932 0.000 3.932 3.932 3.932 0.000" Properties=species:S:1:pos:R:3 comment="LaLuThPa PBE-GGA optimized geometry" formation_energy_ev_per_fu=1.35 e_tot_ev_per_atom=-6.252 spacegroup="No. 216" pbc="T T T"
La 0.000 0.000 0.000
Lu 1.966 1.966 1.966
Th 3.932 3.932 3.932
Pa 5.899 5.899 5.899

5
Lattice="3.689 0.000 0.000 0.000 3.689 0.000 0.000 0.000 4.119" Properties=species:S:1:pos:R:3 comment="TaTcNi2H PBE-GGA optimized geometry" e_above_lowest_polymorph_mev_per_atom=67.5 e_tot_ev_per_atom=-7.551 spacegroup="No. 123" pbc="T T T"
Ta 0.000 0.000 0.000
Tc 1.845 1.845 0.000
Ni 0.000 1.845 2.060
Ni 1.845 0.000 2.060
H 0.000 0.000 2.060

18
Lattice="10.121 0.000 0.000 0.000 6.356 0.000 -7.468 0.000 10.351" Properties=species:S:1:pos:R:3 comment="CaLa2Pr6 PBE-GGA optimized geometry" e_above_lowest_polymorph_mev_per_atom=0.0 formation_energy_ev_per_fu=0.59 e_tot_ev_per_atom=-4.438 spacegroup="No. 14" pbc="T T T"
Ca 0.000 0.000 0.000
Ca -3.734 3.178 5.176
La 0.954 0.564 3.524
La -2.781 2.614 8.699
La 5.433 3.742 1.652
La 1.698 5.792 6.827
Pr -0.904 3.780 2.924
Pr -4.638 5.754 8.100
Pr 1.849 3.359 0.491
Pr -1.886 6.175 5.666
Pr 3.729 0.427 1.146
Pr -0.005 2.751 6.321
Pr 2.657 3.606 4.030
Pr -1.077 5.929 9.205
Pr 4.538 0.181 4.685
Pr 0.803 2.997 9.860
Pr 7.290 0.602 2.251
Pr 3.556 2.576 7.427

11
Lattice="2.755 0.000 0.000 -0.106 6.590 0.000 -0.917 -2.905 7.650" Properties=species:S:1:pos:R:3 comment="VCr8Re2 PBE-GGA optimized geometry" formation_energy_ev_per_fu=2.08 e_tot_ev_per_atom=-9.902 spacegroup="No. 2" pbc="T T T"
V 0.000 0.000 0.000
Cr -0.471 1.253 7.000
Cr 0.159 -0.818 3.090
Cr 0.369 -0.933 6.177
Cr 0.414 2.869 5.643
Cr 1.318 0.816 2.006
Cr 1.363 4.617 1.473
Cr 1.573 4.503 4.560
Cr 2.203 2.431 0.650
Re 0.177 2.860 3.033
Re 1.555 0.824 4.617